# NbCr2C (PBE-GGA, optimized geometry)
# energy of formation from the pure elements = 177 meV per atom
# uncorrected energy = -9.458 eV/atom
data_NbCr2C
_chemical_formula_sum 'Nb4 Cr8 C4'
_symmetry_space_group_name_H-M 'I -4 2 d'
_symmetry_Int_Tables_number 122
_symmetry_space_group_name_Hall 'I -4 2bw'
_cell_length_a 6.6636
_cell_length_b 6.6636
_cell_length_c 4.4581
_cell_angle_alpha 90.00
_cell_angle_beta 90.00
_cell_angle_gamma 90.00
loop_
_atom_site_label
_atom_site_type_symbol
_atom_site_fract_x
_atom_site_fract_y
_atom_site_fract_z
Nb1 Nb 0.0000 0.0000 0.0000
Cr1 Cr 0.1400 0.2500 0.6250
C1 C 0.0000 0.0000 0.5000


# NbCr3C (PBE-GGA, optimized geometry)
# polymorph energy (0 for the lowest one) = 3.193 eV/atom
# energy of formation from the pure elements = 3103 meV per atom
# uncorrected energy = -6.530 eV/atom
data_NbCr3C
_chemical_formula_sum 'Nb1 Cr3 C1'
_symmetry_space_group_name_H-M 'P m -3 m'
_symmetry_Int_Tables_number 221
_symmetry_space_group_name_Hall '-P 4 2 3'
_cell_length_a 4.4646
_cell_length_b 4.4646
_cell_length_c 4.4646
_cell_angle_alpha 90.00
_cell_angle_beta 90.00
_cell_angle_gamma 90.00
loop_
_atom_site_label
_atom_site_type_symbol
_atom_site_fract_x
_atom_site_fract_y
_atom_site_fract_z
Nb1 Nb 0.0000 0.0000 0.0000
Cr1 Cr 0.0000 0.0000 0.5000
C1 C 0.5000 0.5000 0.5000


# Np4Nb3CrC8 (PBE-GGA, optimized geometry)
# energy of formation from the pure elements = -159 meV per atom
# uncorrected energy = -10.496 eV/atom
data_Np4Nb3CrC8
_chemical_formula_sum 'Np12 Nb9 Cr3 C24'
_symmetry_space_group_name_H-M 'R -3 m'
_symmetry_Int_Tables_number 166
_symmetry_space_group_name_Hall '-R 3 2"'
_cell_length_a 6.4874
_cell_length_b 6.4874
_cell_length_c 16.6120
_cell_angle_alpha 90.00
_cell_angle_beta 90.00
_cell_angle_gamma 120.00
loop_
_atom_site_label
_atom_site_type_symbol
_atom_site_fract_x
_atom_site_fract_y
_atom_site_fract_z
Np1 Np 0.0000 0.0000 0.0000
Np2 Np 0.0000 0.5000 0.0000
Nb1 Nb 0.0000 0.5000 0.5000
Cr1 Cr 0.0000 0.0000 0.5000
C1 C 0.0000 0.0000 0.2432
C2 C 0.0066 0.5033 0.2420


# NbCrP2C (PBE-GGA, optimized geometry)
# polymorph energy (0 for the lowest one) = 0.000 eV/atom
# energy of formation from the pure elements = 438 meV per atom
# uncorrected energy = -7.509 eV/atom
data_NbCrP2C
_chemical_formula_sum 'Nb1 Cr1 P2 C1'
_symmetry_space_group_name_H-M 'P 4/m m m'
_symmetry_Int_Tables_number 123
_symmetry_space_group_name_Hall '-P 4 2'
_cell_length_a 4.2171
_cell_length_b 4.2171
_cell_length_c 3.6040
_cell_angle_alpha 90.00
_cell_angle_beta 90.00
_cell_angle_gamma 90.00
loop_
_atom_site_label
_atom_site_type_symbol
_atom_site_fract_x
_atom_site_fract_y
_atom_site_fract_z
Nb1 Nb 0.0000 0.0000 0.0000
Cr1 Cr 0.5000 0.5000 0.0000
P1 P 0.0000 0.5000 0.5000
C1 C 0.5000 0.5000 0.5000


# NbCrP2C (PBE-GGA, optimized geometry)
# polymorph energy (0 for the lowest one) = 1.020 eV/atom
# energy of formation from the pure elements = 1458 meV per atom
# uncorrected energy = -6.489 eV/atom
data_NbCrP2C
_chemical_formula_sum 'Nb1 Cr1 P2 C1'
_symmetry_space_group_name_H-M 'P 4/m m m'
_symmetry_Int_Tables_number 123
_symmetry_space_group_name_Hall '-P 4 2'
_cell_length_a 4.1075
_cell_length_b 4.1075
_cell_length_c 4.9453
_cell_angle_alpha 90.00
_cell_angle_beta 90.00
_cell_angle_gamma 90.00
loop_
_atom_site_label
_atom_site_type_symbol
_atom_site_fract_x
_atom_site_fract_y
_atom_site_fract_z
Nb1 Nb 0.0000 0.0000 0.0000
Cr1 Cr 0.0000 0.0000 0.5000
P1 P 0.0000 0.5000 0.5000
C1 C 0.5000 0.5000 0.0000


# PaNbCrC3 (PBE-GGA, optimized geometry)
# energy of formation from the pure elements = -161 meV per atom
# uncorrected energy = -9.638 eV/atom
data_PaNbCrC3
_chemical_formula_sum 'Pa2 Nb2 Cr2 C6'
_symmetry_space_group_name_H-M 'P 1 21/m 1'
_symmetry_Int_Tables_number 11
_cell_length_a 6.9685
_cell_length_b 3.2306
_cell_length_c 7.3781
_cell_angle_alpha 90.00
_cell_angle_beta 103.07
_cell_angle_gamma 90.00
loop_
_symmetry_equiv_pos_as_xyz
'x,y,z'
'-x,-y,-z'
'-x,y+1/2,-z'
'x,-y+1/2,z'
loop_
_atom_site_label
_atom_site_type_symbol
_atom_site_fract_x
_atom_site_fract_y
_atom_site_fract_z
Pa1 Pa 0.1831 0.2500 0.2006
Nb1 Nb 0.3529 0.7500 0.8567
Cr1 Cr 0.1043 0.2500 0.6009
C1 C 0.1162 0.2500 0.8623
C2 C 0.1886 0.7500 0.4976
C3 C 0.4280 0.7500 0.1604


# PaNb2CrC4 (PBE-GGA, optimized geometry)
# energy of formation from the pure elements = -354 meV per atom
# uncorrected energy = -9.873 eV/atom
data_PaNb2CrC4
_chemical_formula_sum 'Pa4 Nb8 Cr4 C16'
_symmetry_space_group_name_H-M 'C m c m'
_symmetry_Int_Tables_number 63
_symmetry_space_group_name_Hall '-C 2c 2'
_cell_length_a 3.2440
_cell_length_b 11.1568
_cell_length_c 10.8464
_cell_angle_alpha 90.00
_cell_angle_beta 90.00
_cell_angle_gamma 90.00
loop_
_atom_site_label
_atom_site_type_symbol
_atom_site_fract_x
_atom_site_fract_y
_atom_site_fract_z
Pa1 Pa 0.0000 0.1029 0.2500
Nb1 Nb 0.0000 0.3713 0.0428
Cr1 Cr 0.0000 0.1597 0.7500
C1 C 0.0000 0.0000 0.0000
C2 C 0.0000 0.2667 0.6199
C3 C 0.0000 0.4379 0.2500


# NbCr2PtC (PBE-GGA, optimized geometry)
# energy of formation from the pure elements = -194 meV per atom
# uncorrected energy = -9.111 eV/atom
data_NbCr2PtC
_chemical_formula_sum 'Nb1 Cr2 Pt1 C1'
_symmetry_space_group_name_H-M 'P 4/m m m'
_symmetry_Int_Tables_number 123
_symmetry_space_group_name_Hall '-P 4 2'
_cell_length_a 3.8983
_cell_length_b 3.8983
_cell_length_c 4.2594
_cell_angle_alpha 90.00
_cell_angle_beta 90.00
_cell_angle_gamma 90.00
loop_
_atom_site_label
_atom_site_type_symbol
_atom_site_fract_x
_atom_site_fract_y
_atom_site_fract_z
Nb1 Nb 0.0000 0.0000 0.0000
Cr1 Cr 0.0000 0.5000 0.5000
Pt1 Pt 0.5000 0.5000 0.0000
C1 C 0.0000 0.0000 0.5000


# NbCrRu2C (PBE-GGA, optimized geometry)
# polymorph energy (0 for the lowest one) = 0.236 eV/atom
# energy of formation from the pure elements = 170 meV per atom
# uncorrected energy = -9.323 eV/atom
data_NbCrRu2C
_chemical_formula_sum 'Nb1 Cr1 Ru2 C1'
_symmetry_space_group_name_H-M 'P 4/m m m'
_symmetry_Int_Tables_number 123
_symmetry_space_group_name_Hall '-P 4 2'
_cell_length_a 3.9839
_cell_length_b 3.9839
_cell_length_c 4.2449
_cell_angle_alpha 90.00
_cell_angle_beta 90.00
_cell_angle_gamma 90.00
loop_
_atom_site_label
_atom_site_type_symbol
_atom_site_fract_x
_atom_site_fract_y
_atom_site_fract_z
Nb1 Nb 0.0000 0.0000 0.0000
Cr1 Cr 0.5000 0.5000 0.0000
Ru1 Ru 0.0000 0.5000 0.5000
C1 C 0.0000 0.0000 0.5000


# NbCrRu2C (PBE-GGA, optimized geometry)
# polymorph energy (0 for the lowest one) = 0.000 eV/atom
# energy of formation from the pure elements = -65 meV per atom
# uncorrected energy = -9.559 eV/atom
data_NbCrRu2C
_chemical_formula_sum 'Nb1 Cr1 Ru2 C1'
_symmetry_space_group_name_H-M 'P 4/m m m'
_symmetry_Int_Tables_number 123
_symmetry_space_group_name_Hall '-P 4 2'
_cell_length_a 4.0237
_cell_length_b 4.0237
_cell_length_c 3.9903
_cell_angle_alpha 90.00
_cell_angle_beta 90.00
_cell_angle_gamma 90.00
loop_
_atom_site_label
_atom_site_type_symbol
_atom_site_fract_x
_atom_site_fract_y
_atom_site_fract_z
Nb1 Nb 0.0000 0.0000 0.0000
Cr1 Cr 0.5000 0.5000 0.0000
Ru1 Ru 0.0000 0.5000 0.5000
C1 C 0.5000 0.5000 0.5000


# Nb4CrC2S4 (PBE-GGA, optimized geometry)
# ΔE_f (raw) = -0.8241 eV/atom
# uncorrected energy = -8.539 eV/atom
data_Nb4CrC2S4
_chemical_formula_sum 'Nb4 Cr1 C2 S4'
_symmetry_space_group_name_H-M 'P 1 2/m 1'
_symmetry_Int_Tables_number 10
_cell_length_a 5.7706
_cell_length_b 3.3423
_cell_length_c 8.7638
_cell_angle_alpha 90.00
_cell_angle_beta 102.18
_cell_angle_gamma 90.00
loop_
_symmetry_equiv_pos_as_xyz
'x,y,z'
'-x,-y,-z'
'-x,y,-z'
'x,-y,z'
loop_
_atom_site_label
_atom_site_type_symbol
_atom_site_fract_x
_atom_site_fract_y
_atom_site_fract_z
Nb1 Nb 0.1182 0.0000 0.3679
Nb2 Nb 0.3710 0.5000 0.6329
Cr1 Cr 0.0000 0.0000 0.0000
C1 C 0.0000 0.5000 0.5000
C2 C 0.5000 0.0000 0.5000
S1 S 0.2271 0.5000 0.1645
S2 S 0.2748 0.0000 0.8302


# Sc2NbCr2C4 (PBE-GGA, optimized geometry)
# energy of formation from the pure elements = -252 meV per atom
# uncorrected energy = -9.016 eV/atom
data_Sc2NbCr2C4
_chemical_formula_sum 'Sc4 Nb2 Cr4 C8'
_symmetry_space_group_name_H-M 'C 1 2/m 1'
_symmetry_Int_Tables_number 12
_cell_length_a 12.3200
_cell_length_b 3.1750
_cell_length_c 5.3895
_cell_angle_alpha 90.00
_cell_angle_beta 109.77
_cell_angle_gamma 90.00
loop_
_symmetry_equiv_pos_as_xyz
'x,y,z'
'-x,-y,-z'
'-x,y,-z'
'x,-y,z'
'x+1/2,y+1/2,z'
'-x+1/2,-y+1/2,-z'
'-x+1/2,y+1/2,-z'
'x+1/2,-y+1/2,z'
loop_
_atom_site_label
_atom_site_type_symbol
_atom_site_fract_x
_atom_site_fract_y
_atom_site_fract_z
Sc1 Sc 0.1406 0.0000 0.0393
Nb1 Nb 0.0000 0.0000 0.5000
Cr1 Cr 0.1703 0.5000 0.4814
C1 C 0.0189 0.5000 0.1488
C2 C 0.2161 0.0000 0.7147